Cs2ZnAu2 | PBE-GGA | relaxed

Cell lengths 7.1371, 7.1371, 12.7324 Å; angles 108.31, 108.31, 38.63 degrees
With the nearest neighbours (Å) after each atom.
Fractional coordinates of all 10 atoms:
Cs 0.0939 0.0939 0.4029  6 Au 3.71-4.01, 2 Zn 3.82, 1 Cs 4.08
Cs 0.2991 0.2991 0.8605  7 Au 3.71-3.87, 4 Zn 3.72-3.86
Cs 0.7009 0.7009 0.1395  7 Au 3.71-3.87, 4 Zn 3.72-3.86
Cs 0.9061 0.9061 0.5971  6 Au 3.71-4.01, 2 Zn 3.82, 1 Cs 4.08
Zn 0.4360 0.4360 0.1712  3 Au 2.63-2.68
Zn 0.5640 0.5640 0.8288  3 Au 2.63-2.68
Au 0.0373 0.0373 0.9067  2 Zn 2.63, 1 Au 2.87
Au 0.3700 0.3700 0.3476  1 Zn 2.68
Au 0.6300 0.6300 0.6524  1 Zn 2.68
Au 0.9627 0.9627 0.0933  2 Zn 2.63, 1 Au 2.87

Energy above the lowest structure with this stoichiometry (meV/atom): 0
Fermi-level density of states (states/eV per cell): 2.57
Symmetry: C2/m, No. 12
Energy relative to the elements (eV/f.u.): -1.2
Total magnetization (μB per cell): 0.00